Entry 1:
Density functional theory data (PBE) for crystalline SbPb2I at its relaxed geometry.

a = 6.593 Å, b = 6.592 Å, c = 15.198 Å
α = 90.00°, β = 115.55°, γ = 90.00°
Space group P2/c (No. 13)
Symmetry-distinct sites (fractional):
Sb 0.128 0.249 0.125 x4
Pb 0.100 0.251 0.597 x4
Pb 0.340 0.249 0.347 x4
I 0.374 0.251 0.875 x4

**Distance to the lowest polymorph of the same formula**: 0.062 eV per atom
**E_form (uncorrected)**: -0.20 eV per atom
**Crystal system**: monoclinic
**V**: 37.24 Å³/atom

---

Entry 2:
Density functional theory data (PBE) for crystalline Sb2Pb3I at its relaxed geometry.

a = 8.091 Å, b = 4.555 Å, c = 11.946 Å
α = 90.00°, β = 103.88°, γ = 90.00°
Space group P2_1/m (No. 11)
Symmetry-distinct sites (fractional):
Sb 0.010 0.250 0.324 x2
Sb 0.255 0.250 0.010 x2
Pb 0.113 0.750 0.153 x2
Pb 0.199 0.750 0.486 x2
Pb 0.349 0.750 0.859 x2
I 0.474 0.250 0.663 x2

**E_form (uncorrected)**: -0.13 eV per atom
**Crystal system**: monoclinic
**V**: 35.62 Å³/atom

---

Entry 3:
Density functional theory data (PBE) for crystalline SbPb2I at its relaxed geometry.

a = 4.6607 Å, b = 4.6607 Å, c = 23.5111 Å
α = 90.00°, β = 90.00°, γ = 120.00°
Space group R-3m (No. 166, hexagonal axes)
Symmetry-distinct sites (fractional):
Sb 0.0000 0.0000 0.0000 x3
Pb 0.0000 0.0000 0.2629 x6
I 0.0000 0.0000 0.5000 x3

**Distance to the lowest polymorph of the same formula**: 0.000 eV per atom
**E_form (uncorrected)**: -0.26 eV per atom
**Crystal system**: trigonal
**V**: 36.86 Å³/atom